First-principles (GGA-PBE) data for crystalline Dy2HfSc4 at its relaxed geometry, as listed in Alexandria via LeMat-Bulk.

Results
Its total magnetic moment is 0.791 μB per cell. Its density is 6263 kg/m³. The offset from the most stable computed form comes out at 0.0 meV per atom. The energy of formation from the pure elements is 40 meV/atom.

Structure (CIF):
```
data_Dy2HfSc4
_space_group_name_H-M_alt 'C 1 m 1'
_space_group_IT_number 8
_cell_length_a 5.813
_cell_length_b 3.356
_cell_length_c 18.671
_cell_angle_alpha 90.00
_cell_angle_beta 95.95
_cell_angle_gamma 90.00
loop_
_space_group_symop_operation_xyz
'x,y,z'
'x,-y,z'
'x+1/2,y+1/2,z'
'x+1/2,-y+1/2,z'
loop_
_atom_site_label
_atom_site_type_symbol
_atom_site_fract_x
_atom_site_fract_y
_atom_site_fract_z
Dy1 Dy 0.000 0.000 0.000
Dy2 Dy 0.099 0.000 0.295
Hf1 Hf 0.192 0.000 0.579
Sc1 Sc 0.283 0.000 0.852
Sc2 Sc 0.315 0.500 0.448
Sc3 Sc 0.383 0.000 0.149
Sc4 Sc 0.403 0.500 0.712
```